Record 1
# K2FeP2S6 | OQMD | PBE | optimized geometry
data_K2FeP2S6
_cell_length_a 6.032
_cell_length_b 12.200
_cell_length_c 8.615
_cell_angle_alpha 90.00
_cell_angle_beta 122.19
_cell_angle_gamma 90.00
_symmetry_space_group_name_H-M 'P 1 21/c 1'
_symmetry_Int_Tables_number 14
loop_
_symmetry_equiv_pos_as_xyz
'x,y,z'
'-x,-y,-z'
'-x,y+1/2,-z+1/2'
'x,-y+1/2,z+1/2'
loop_
_atom_site_label
_atom_site_fract_x
_atom_site_fract_y
_atom_site_fract_z
K1 0.187 0.183 0.466
Fe1 0.500 0.000 0.000
P1 0.155 0.538 0.631
S1 0.053 0.068 0.749
S2 0.291 0.667 0.559
S3 0.445 0.076 0.252
# * energy: -4.823 eV per atom

***

Record 2
# K2FeP2Se6 | OQMD | PBE | optimized geometry
data_K2FeP2Se6
_cell_length_a 6.416
_cell_length_b 12.807
_cell_length_c 8.848
_cell_angle_alpha 90.00
_cell_angle_beta 122.40
_cell_angle_gamma 90.00
_symmetry_space_group_name_H-M 'P 1 21/c 1'
_symmetry_Int_Tables_number 14
loop_
_symmetry_equiv_pos_as_xyz
'x,y,z'
'-x,-y,-z'
'-x,y+1/2,-z+1/2'
'x,-y+1/2,z+1/2'
loop_
_atom_site_label
_atom_site_fract_x
_atom_site_fract_y
_atom_site_fract_z
K1 0.181 0.194 0.456
Fe1 0.500 0.000 0.000
P1 0.150 0.533 0.633
Se1 0.060 0.057 0.736
Se2 0.297 0.669 0.566
Se3 0.446 0.085 0.250
# * energy: -4.335 eV per atom

***

Record 3
# KPaFe | OQMD | PBE | optimized geometry
data_KPaFe
_cell_length_a 6.452
_cell_length_b 6.452
_cell_length_c 6.452
_cell_angle_alpha 90.00
_cell_angle_beta 90.00
_cell_angle_gamma 90.00
_symmetry_space_group_name_H-M 'F -4 3 m'
_symmetry_Int_Tables_number 216
_symmetry_space_group_name_Hall 'F -4 2 3'
loop_
_atom_site_label
_atom_site_fract_x
_atom_site_fract_y
_atom_site_fract_z
K1 0.000 0.000 0.000
Pa1 0.250 0.250 0.750
Fe1 0.000 0.000 0.500
# * energy: -4.534 eV per atom
# * distance to the lowest polymorph of the same formula: 0.0 meV per atom

***

Record 4
# KFe3Pb5 | OQMD | PBE | optimized geometry
data_KFe3Pb5
_cell_length_a 5.4727
_cell_length_b 5.4727
_cell_length_c 8.9982
_cell_angle_alpha 90.00
_cell_angle_beta 90.00
_cell_angle_gamma 120.00
_symmetry_space_group_name_H-M 'P 6/m m m'
_symmetry_Int_Tables_number 191
_symmetry_space_group_name_Hall '-P 6 2'
loop_
_atom_site_label
_atom_site_fract_x
_atom_site_fract_y
_atom_site_fract_z
K1 0.0000 0.0000 0.0000
Fe1 0.0000 0.5000 0.5000
Pb1 0.0000 0.0000 0.5000
Pb2 0.3333 0.6667 0.2326
# * energy: -4.809 eV per atom

***

Record 5
# KFePbS3 | OQMD | PBE | optimized geometry
data_KFePbS3
_cell_length_a 8.855
_cell_length_b 3.994
_cell_length_c 9.880
_cell_angle_alpha 90.00
_cell_angle_beta 104.01
_cell_angle_gamma 90.00
_symmetry_space_group_name_H-M 'P 1 21/m 1'
_symmetry_Int_Tables_number 11
loop_
_symmetry_equiv_pos_as_xyz
'x,y,z'
'-x,-y,-z'
'-x,y+1/2,-z'
'x,-y+1/2,z'
loop_
_atom_site_label
_atom_site_fract_x
_atom_site_fract_y
_atom_site_fract_z
K1 0.222 0.250 0.259
Fe1 0.073 0.250 0.589
Pb1 0.339 0.750 0.867
S1 0.076 0.250 0.808
S2 0.182 0.750 0.533
S3 0.443 0.750 0.156
# * energy: -4.822 eV per atom

***

Record 6
# KFePdS3 | OQMD | PBE | optimized geometry
data_KFePdS3
_cell_length_a 7.869
_cell_length_b 3.548
_cell_length_c 9.178
_cell_angle_alpha 90.00
_cell_angle_beta 109.99
_cell_angle_gamma 90.00
_symmetry_space_group_name_H-M 'P 1 21/m 1'
_symmetry_Int_Tables_number 11
loop_
_symmetry_equiv_pos_as_xyz
'x,y,z'
'-x,-y,-z'
'-x,y+1/2,-z'
'x,-y+1/2,z'
loop_
_atom_site_label
_atom_site_fract_x
_atom_site_fract_y
_atom_site_fract_z
K1 0.226 0.250 0.258
Fe1 0.328 0.750 0.848
Pd1 0.113 0.250 0.596
S1 0.144 0.250 0.869
S2 0.301 0.750 0.594
S3 0.468 0.750 0.116
# * energy: -4.972 eV per atom

***

Which formula does entry 3 have?
KPaFe